[1]
The following is a DFT calculation (PBE) of crystalline HfMn3Ge at its relaxed geometry.

Properties
* raw total energy: -7.007 eV per atom
* space-group type: Pm-3m

```
HfMn3Ge
1.0
4.6899 0.0000 0.0000
0.0000 4.6899 0.0000
0.0000 0.0000 4.6899
Mn Hf Ge
3 1 1
Direct
0.5000 0.0000 0.0000 Mn
0.0000 0.0000 0.5000 Mn
0.0000 0.5000 0.0000 Mn
0.0000 0.0000 0.0000 Hf
0.5000 0.5000 0.5000 Ge
```


[2]
The following is a DFT calculation (PBE) of crystalline Hf2Mn2Ge3 at its relaxed geometry.

Properties
* raw total energy: -7.731 eV per atom
* space-group type: C2/m

```
Hf2Mn2Ge3
1.0
4.2088 0.0000 0.0000
0.0000 5.8811 0.1229
-2.1044 -1.5888 4.5281
Ge Hf Mn
3 2 2
Direct
0.3284 0.7356 0.6569 Ge
0.0000 0.0000 0.0000 Ge
0.6716 0.2644 0.3431 Ge
0.3642 0.2498 0.7284 Hf
0.6358 0.7502 0.2716 Hf
0.9164 0.5757 0.8327 Mn
0.0836 0.4243 0.1673 Mn
```


[3]
The following is a DFT calculation (PBE) of crystalline HfMnGe at its relaxed geometry.

Properties
* raw total energy: -8.113 eV per atom
* space-group type: I4mm

```
HfMnGe
1.0
-2.4336 -1.4805 -1.5136
1.6759 0.0623 -2.7555
2.2536 -3.4422 3.1809
Ge Mn Hf
1 1 1
Direct
0.3059 0.3059 0.6118 Ge
0.9303 0.9303 0.8605 Mn
0.6138 0.6138 0.2277 Hf
```